# BaInPt2 | the Open Quantum Materials Database | PBE | relaxed
data_BaInPt2
_cell_length_a 4.7080
_cell_length_b 4.7080
_cell_length_c 5.5560
_cell_angle_alpha 90.00
_cell_angle_beta 90.00
_cell_angle_gamma 120.00
_symmetry_space_group_name_H-M 'P -6 m 2'
_symmetry_Int_Tables_number 187
_symmetry_space_group_name_Hall 'P -6 2'
loop_
_atom_site_label
_atom_site_type_symbol
_atom_site_fract_x
_atom_site_fract_y
_atom_site_fract_z
Ba1 Ba 0.0000 0.0000 0.0000
In1 In 0.6667 0.3333 0.5000
Pt1 Pt 0.3333 0.6667 0.2656
# E_tot: -18.73 eV per cell
# total moment: 0.006 μB per formula unit
# theoretical density: 10.00 g/cm3

***

# BaInPt | the Open Quantum Materials Database | PBE | relaxed
data_BaInPt
_cell_length_a 7.2226
_cell_length_b 7.2226
_cell_length_c 7.2226
_cell_angle_alpha 90.00
_cell_angle_beta 90.00
_cell_angle_gamma 90.00
_symmetry_space_group_name_H-M 'F -4 3 m'
_symmetry_Int_Tables_number 216
_symmetry_space_group_name_Hall 'F -4 2 3'
loop_
_atom_site_label
_atom_site_type_symbol
_atom_site_fract_x
_atom_site_fract_y
_atom_site_fract_z
Ba1 Ba 0.0000 0.0000 0.0000
In1 In 0.0000 0.0000 0.5000
Pt1 Pt 0.2500 0.2500 0.2500
# E_tot: -48.61 eV per cell
# total moment: 0.001 μB per formula unit
# theoretical density: 7.88 g/cm3

***

# Ba2In3SnPt2 | the Open Quantum Materials Database | PBE | relaxed
data_Ba2In3SnPt2
_cell_length_a 11.8561
_cell_length_b 4.5630
_cell_length_c 8.0017
_cell_angle_alpha 90.00
_cell_angle_beta 90.09
_cell_angle_gamma 90.00
_symmetry_space_group_name_H-M 'C 1 m 1'
_symmetry_Int_Tables_number 8
loop_
_symmetry_equiv_pos_as_xyz
'x,y,z'
'x,-y,z'
'x+1/2,y+1/2,z'
'x+1/2,-y+1/2,z'
loop_
_atom_site_label
_atom_site_type_symbol
_atom_site_fract_x
_atom_site_fract_y
_atom_site_fract_z
Ba1 Ba 0.0000 0.0000 0.0000
Ba2 Ba 0.1105 0.0000 0.5001
In1 In 0.2150 0.5000 0.1932
In2 In 0.3930 0.0000 0.3026
In3 In 0.3971 0.0000 0.6921
Sn1 Sn 0.2167 0.5000 0.8053
Pt1 Pt 0.2760 0.0000 0.9938
Pt2 Pt 0.3325 0.5000 0.5012
# E_tot: -66.80 eV per cell
# total moment: 0.009 μB per formula unit
# theoretical density: 8.65 g/cm3

***

# Ba2InSnPt4 | the Open Quantum Materials Database | PBE | relaxed
data_Ba2InSnPt4
_cell_length_a 4.6669
_cell_length_b 4.6669
_cell_length_c 11.2043
_cell_angle_alpha 90.00
_cell_angle_beta 90.00
_cell_angle_gamma 120.00
_symmetry_space_group_name_H-M 'P -3 m 1'
_symmetry_Int_Tables_number 164
_symmetry_space_group_name_Hall '-P 3 2"'
loop_
_atom_site_label
_atom_site_type_symbol
_atom_site_fract_x
_atom_site_fract_y
_atom_site_fract_z
Ba1 Ba 0.3333 0.6667 0.2503
In1 In 0.0000 0.0000 0.5000
Sn1 Sn 0.0000 0.0000 0.0000
Pt1 Pt 0.3333 0.6667 0.5441
Pt2 Pt 0.3333 0.6667 0.9550
# E_tot: -40.30 eV per cell
# total moment: 0.001 μB per formula unit
# theoretical density: 10.12 g/cm3

***

# BaTlIn2Pt | the Open Quantum Materials Database | PBE | relaxed
data_BaTlIn2Pt
_cell_length_a 4.8166
_cell_length_b 4.8166
_cell_length_c 12.0721
_cell_angle_alpha 90.00
_cell_angle_beta 90.00
_cell_angle_gamma 90.00
_symmetry_space_group_name_H-M 'I 4 m m'
_symmetry_Int_Tables_number 107
_symmetry_space_group_name_Hall 'I 4 -2'
loop_
_atom_site_label
_atom_site_type_symbol
_atom_site_fract_x
_atom_site_fract_y
_atom_site_fract_z
Ba1 Ba 0.0000 0.0000 0.0000
Tl1 Tl 0.0000 0.0000 0.6003
In1 In 0.0000 0.5000 0.2633
Pt1 Pt 0.0000 0.0000 0.3708
# E_tot: -36.58 eV per cell
# total moment: 0.000 μB per formula unit
# theoretical density: 9.09 g/cm3

***

# BaZnInPt2 | the Open Quantum Materials Database | PBE | relaxed
data_BaZnInPt2
_cell_length_a 4.4854
_cell_length_b 4.4854
_cell_length_c 11.6107
_cell_angle_alpha 90.00
_cell_angle_beta 90.00
_cell_angle_gamma 90.00
_symmetry_space_group_name_H-M 'I -4 m 2'
_symmetry_Int_Tables_number 119
_symmetry_space_group_name_Hall 'I -4 -2'
loop_
_atom_site_label
_atom_site_type_symbol
_atom_site_fract_x
_atom_site_fract_y
_atom_site_fract_z
Ba1 Ba 0.0000 0.0000 0.0000
Zn1 Zn 0.0000 0.5000 0.7500
In1 In 0.0000 0.5000 0.2500
Pt1 Pt 0.0000 0.0000 0.3824
# E_tot: -42.46 eV per cell
# total moment: 0.006 μB per formula unit
# theoretical density: 10.06 g/cm3

***

# Ba2InReS6 | the Open Quantum Materials Database | PBE | relaxed
data_Ba2InReS6
_cell_length_a 9.8841
_cell_length_b 9.8841
_cell_length_c 9.8841
_cell_angle_alpha 90.00
_cell_angle_beta 90.00
_cell_angle_gamma 90.00
_symmetry_space_group_name_H-M 'F m -3 m'
_symmetry_Int_Tables_number 225
_symmetry_space_group_name_Hall '-F 4 2 3'
loop_
_atom_site_label
_atom_site_type_symbol
_atom_site_fract_x
_atom_site_fract_y
_atom_site_fract_z
Ba1 Ba 0.2500 0.2500 0.2500
In1 In 0.0000 0.0000 0.0000
Re1 Re 0.0000 0.0000 0.5000
S1 S 0.0000 0.0000 0.2598
# E_tot: -209.61 eV per cell
# total moment: 1.845 μB per formula unit
# theoretical density: 5.28 g/cm3

***

# Ba3SmInS6 | the Open Quantum Materials Database | PBE | relaxed
data_Ba3SmInS6
_cell_length_a 12.2397
_cell_length_b 12.2397
_cell_length_c 13.9993
_cell_angle_alpha 90.00
_cell_angle_beta 90.00
_cell_angle_gamma 120.00
_symmetry_space_group_name_H-M 'R -3 c'
_symmetry_Int_Tables_number 167
_symmetry_space_group_name_Hall '-R 3 2"c'
loop_
_atom_site_label
_atom_site_type_symbol
_atom_site_fract_x
_atom_site_fract_y
_atom_site_fract_z
Ba1 Ba 0.0000 0.3802 0.2500
Sm1 Sm 0.0000 0.0000 0.2500
In1 In 0.0000 0.0000 0.0000
S1 S 0.0272 0.1842 0.3842
# E_tot: -345.52 eV per cell
# total moment: 0.002 μB per formula unit
# theoretical density: 4.77 g/cm3

***

# Ba2InTcS6 | the Open Quantum Materials Database | PBE | relaxed
data_Ba2InTcS6
_cell_length_a 9.9170
_cell_length_b 9.9170
_cell_length_c 9.9170
_cell_angle_alpha 90.00
_cell_angle_beta 90.00
_cell_angle_gamma 90.00
_symmetry_space_group_name_H-M 'F m -3 m'
_symmetry_Int_Tables_number 225
_symmetry_space_group_name_Hall '-F 4 2 3'
loop_
_atom_site_label
_atom_site_type_symbol
_atom_site_fract_x
_atom_site_fract_y
_atom_site_fract_z
Ba1 Ba 0.2500 0.2500 0.2500
In1 In 0.0000 0.0000 0.0000
Tc1 Tc 0.0000 0.0000 0.5000
S1 S 0.0000 0.0000 0.2585
# E_tot: -202.35 eV per cell
# total moment: 2.459 μB per formula unit
# theoretical density: 4.63 g/cm3

***

# Ba2InTcS6 | the Open Quantum Materials Database | PBE | relaxed
data_Ba2InTcS6
_cell_length_a 6.7799
_cell_length_b 6.7799
_cell_length_c 10.5235
_cell_angle_alpha 90.00
_cell_angle_beta 90.00
_cell_angle_gamma 90.00
_symmetry_space_group_name_H-M 'I 4/m'
_symmetry_Int_Tables_number 87
_symmetry_space_group_name_Hall '-I 4'
loop_
_atom_site_label
_atom_site_type_symbol
_atom_site_fract_x
_atom_site_fract_y
_atom_site_fract_z
Ba1 Ba 0.0000 0.5000 0.2500
In1 In 0.0000 0.0000 0.0000
Tc1 Tc 0.0000 0.0000 0.5000
S1 S 0.0000 0.0000 0.2645
S2 S 0.1728 0.6928 0.5000
# E_tot: -102.21 eV per cell
# total moment: 1.923 μB per formula unit
# theoretical density: 4.67 g/cm3

***

# Ba2InTcS6 | the Open Quantum Materials Database | PBE | relaxed
data_Ba2InTcS6
_cell_length_a 6.8164
_cell_length_b 6.8171
_cell_length_c 6.9931
_cell_angle_alpha 61.87
_cell_angle_beta 63.83
_cell_angle_gamma 61.87
_symmetry_space_group_name_H-M 'P -1'
_symmetry_Int_Tables_number 2
loop_
_symmetry_equiv_pos_as_xyz
'x,y,z'
'-x,-y,-z'
loop_
_atom_site_label
_atom_site_type_symbol
_atom_site_fract_x
_atom_site_fract_y
_atom_site_fract_z
Ba1 Ba 0.2496 0.2493 0.2531
In1 In 0.0000 0.0000 0.0000
Tc1 Tc 0.5000 0.5000 0.5000
S1 S 0.2077 0.3131 0.6960
S2 S 0.2406 0.7950 0.6825
S3 S 0.3394 0.7404 0.1811
# E_tot: -51.08 eV per cell
# total moment: 1.988 μB per formula unit
# theoretical density: 4.66 g/cm3

***

# Ba2SmInSe5 | the Open Quantum Materials Database | PBE | relaxed
data_Ba2SmInSe5
_cell_length_a 4.3390
_cell_length_b 19.1346
_cell_length_c 13.4682
_cell_angle_alpha 90.00
_cell_angle_beta 90.00
_cell_angle_gamma 90.00
_symmetry_space_group_name_H-M 'C m c 21'
_symmetry_Int_Tables_number 36
loop_
_symmetry_equiv_pos_as_xyz
'x,y,z'
'-x,-y,z+1/2'
'-x,y,z'
'x,-y,z+1/2'
'x+1/2,y+1/2,z'
'-x+1/2,-y+1/2,z+1/2'
'-x+1/2,y+1/2,z'
'x+1/2,-y+1/2,z+1/2'
loop_
_atom_site_label
_atom_site_type_symbol
_atom_site_fract_x
_atom_site_fract_y
_atom_site_fract_z
Ba1 Ba 0.0000 0.1167 0.0000
Ba2 Ba 0.0000 0.1313 0.6333
Sm1 Sm 0.0000 0.2113 0.3362
In1 In 0.0000 0.4485 0.7555
Se1 Se 0.0000 0.0483 0.3691
Se2 Se 0.0000 0.2910 0.9789
Se3 Se 0.0000 0.3143 0.6854
Se4 Se 0.0000 0.3582 0.3194
Se5 Se 0.0000 0.4948 0.0836
# E_tot: -173.60 eV per cell
# total moment: 0.008 μB per formula unit
# theoretical density: 5.55 g/cm3

***

# Ba2TbInSe5 | the Open Quantum Materials Database | PBE | relaxed
data_Ba2TbInSe5
_cell_length_a 4.3105
_cell_length_b 19.0614
_cell_length_c 13.4611
_cell_angle_alpha 90.00
_cell_angle_beta 90.00
_cell_angle_gamma 90.00
_symmetry_space_group_name_H-M 'C m c 21'
_symmetry_Int_Tables_number 36
loop_
_symmetry_equiv_pos_as_xyz
'x,y,z'
'-x,-y,z+1/2'
'-x,y,z'
'x,-y,z+1/2'
'x+1/2,y+1/2,z'
'-x+1/2,-y+1/2,z+1/2'
'-x+1/2,y+1/2,z'
'x+1/2,-y+1/2,z+1/2'
loop_
_atom_site_label
_atom_site_type_symbol
_atom_site_fract_x
_atom_site_fract_y
_atom_site_fract_z
Ba1 Ba 0.0000 0.1176 0.0000
Ba2 Ba 0.0000 0.1324 0.6328
Tb1 Tb 0.0000 0.2110 0.3365
In1 In 0.0000 0.4475 0.7558
Se1 Se 0.0000 0.0504 0.3699
Se2 Se 0.0000 0.2910 0.9764
Se3 Se 0.0000 0.3129 0.6882
Se4 Se 0.0000 0.3563 0.3194
Se5 Se 0.0000 0.4951 0.0845
# E_tot: -173.35 eV per cell
# total moment: 0.003 μB per formula unit
# theoretical density: 5.66 g/cm3

***

# Ba2InTcSe6 | the Open Quantum Materials Database | PBE | relaxed
data_Ba2InTcSe6
_cell_length_a 6.7457
_cell_length_b 6.9980
_cell_length_c 7.3953
_cell_angle_alpha 67.83
_cell_angle_beta 64.58
_cell_angle_gamma 64.74
_symmetry_space_group_name_H-M 'P -1'
_symmetry_Int_Tables_number 2
loop_
_symmetry_equiv_pos_as_xyz
'x,y,z'
'-x,-y,-z'
loop_
_atom_site_label
_atom_site_type_symbol
_atom_site_fract_x
_atom_site_fract_y
_atom_site_fract_z
Ba1 Ba 0.2436 0.2673 0.2466
In1 In 0.0000 0.0000 0.0000
Tc1 Tc 0.5000 0.5000 0.5000
Se1 Se 0.1841 0.7531 0.3298
Se2 Se 0.2602 0.6504 0.8277
Se3 Se 0.3295 0.1918 0.6848
# E_tot: -46.52 eV per cell
# total moment: 2.404 μB per formula unit
# theoretical density: 5.76 g/cm3

***

# Ba2InTcSe6 | the Open Quantum Materials Database | PBE | relaxed
data_Ba2InTcSe6
_cell_length_a 10.4318
_cell_length_b 10.4318
_cell_length_c 10.4318
_cell_angle_alpha 90.00
_cell_angle_beta 90.00
_cell_angle_gamma 90.00
_symmetry_space_group_name_H-M 'F m -3 m'
_symmetry_Int_Tables_number 225
_symmetry_space_group_name_Hall '-F 4 2 3'
loop_
_atom_site_label
_atom_site_type_symbol
_atom_site_fract_x
_atom_site_fract_y
_atom_site_fract_z
Ba1 Ba 0.2500 0.2500 0.2500
In1 In 0.0000 0.0000 0.0000
Tc1 Tc 0.0000 0.0000 0.5000
Se1 Se 0.0000 0.0000 0.2575
# E_tot: -182.76 eV per cell
# total moment: 2.912 μB per formula unit
# theoretical density: 5.62 g/cm3

***

# Ba2InTcSe6 | the Open Quantum Materials Database | PBE | relaxed
data_Ba2InTcSe6
_cell_length_a 6.8981
_cell_length_b 6.8981
_cell_length_c 11.7833
_cell_angle_alpha 90.00
_cell_angle_beta 90.00
_cell_angle_gamma 90.00
_symmetry_space_group_name_H-M 'I 4/m'
_symmetry_Int_Tables_number 87
_symmetry_space_group_name_Hall '-I 4'
loop_
_atom_site_label
_atom_site_type_symbol
_atom_site_fract_x
_atom_site_fract_y
_atom_site_fract_z
Ba1 Ba 0.0000 0.5000 0.2500
In1 In 0.0000 0.0000 0.0000
Tc1 Tc 0.0000 0.0000 0.5000
Se1 Se 0.0000 0.0000 0.2711
Se2 Se 0.1345 0.6600 0.5000
# E_tot: -93.37 eV per cell
# total moment: 2.176 μB per formula unit
# theoretical density: 5.69 g/cm3

***

# Ba2TmInSe5 | the Open Quantum Materials Database | PBE | relaxed
data_Ba2TmInSe5
_cell_length_a 4.2849
_cell_length_b 18.9982
_cell_length_c 13.4572
_cell_angle_alpha 90.00
_cell_angle_beta 90.00
_cell_angle_gamma 90.00
_symmetry_space_group_name_H-M 'C m c 21'
_symmetry_Int_Tables_number 36
loop_
_symmetry_equiv_pos_as_xyz
'x,y,z'
'-x,-y,z+1/2'
'-x,y,z'
'x,-y,z+1/2'
'x+1/2,y+1/2,z'
'-x+1/2,-y+1/2,z+1/2'
'-x+1/2,y+1/2,z'
'x+1/2,-y+1/2,z+1/2'
loop_
_atom_site_label
_atom_site_type_symbol
_atom_site_fract_x
_atom_site_fract_y
_atom_site_fract_z
Ba1 Ba 0.0000 0.1184 0.0000
Ba2 Ba 0.0000 0.1333 0.6322
Tm1 Tm 0.0000 0.2108 0.3369
In1 In 0.0000 0.4469 0.7559
Se1 Se 0.0000 0.0523 0.3707
Se2 Se 0.0000 0.2911 0.9741
Se3 Se 0.0000 0.3117 0.6907
Se4 Se 0.0000 0.3544 0.3193
Se5 Se 0.0000 0.4953 0.0850
# E_tot: -172.41 eV per cell
# total moment: 0.013 μB per formula unit
# theoretical density: 5.78 g/cm3

***

# BaSmIn | the Open Quantum Materials Database | PBE | relaxed
data_BaSmIn
_cell_length_a 7.6873
_cell_length_b 7.6873
_cell_length_c 7.6873
_cell_angle_alpha 90.00
_cell_angle_beta 90.00
_cell_angle_gamma 90.00
_symmetry_space_group_name_H-M 'F -4 3 m'
_symmetry_Int_Tables_number 216
_symmetry_space_group_name_Hall 'F -4 2 3'
loop_
_atom_site_label
_atom_site_type_symbol
_atom_site_fract_x
_atom_site_fract_y
_atom_site_fract_z
Ba1 Ba 0.0000 0.0000 0.0000
Sm1 Sm 0.2500 0.2500 0.2500
In1 In 0.0000 0.0000 0.5000
# E_tot: -35.81 eV per cell
# total moment: 0.000 μB per formula unit
# theoretical density: 5.89 g/cm3

***

# Ba2SmInTe5 | the Open Quantum Materials Database | PBE | relaxed
data_Ba2SmInTe5
_cell_length_a 4.6130
_cell_length_b 20.5728
_cell_length_c 14.3291
_cell_angle_alpha 90.00
_cell_angle_beta 90.00
_cell_angle_gamma 90.00
_symmetry_space_group_name_H-M 'C m c 21'
_symmetry_Int_Tables_number 36
loop_
_symmetry_equiv_pos_as_xyz
'x,y,z'
'-x,-y,z+1/2'
'-x,y,z'
'x,-y,z+1/2'
'x+1/2,y+1/2,z'
'-x+1/2,-y+1/2,z+1/2'
'-x+1/2,y+1/2,z'
'x+1/2,-y+1/2,z+1/2'
loop_
_atom_site_label
_atom_site_type_symbol
_atom_site_fract_x
_atom_site_fract_y
_atom_site_fract_z
Ba1 Ba 0.0000 0.1191 0.0000
Ba2 Ba 0.0000 0.1294 0.3653
Sm1 Sm 0.0000 0.2093 0.6643
In1 In 0.0000 0.4437 0.2471
Te1 Te 0.0000 0.0483 0.6291
Te2 Te 0.0000 0.2923 0.0181
Te3 Te 0.0000 0.3108 0.3195
Te4 Te 0.0000 0.3573 0.6804
Te5 Te 0.0000 0.4959 0.9203
# E_tot: -155.18 eV per cell
# total moment: 0.007 μB per formula unit
# theoretical density: 5.75 g/cm3

***

# BaZn2InSn | the Open Quantum Materials Database | PBE | relaxed
data_BaZn2InSn
_cell_length_a 4.7407
_cell_length_b 4.7407
_cell_length_c 11.5873
_cell_angle_alpha 90.00
_cell_angle_beta 90.00
_cell_angle_gamma 90.00
_symmetry_space_group_name_H-M 'P 4/n m m'
_symmetry_Int_Tables_number 129
loop_
_symmetry_equiv_pos_as_xyz
'x,y,z'
'-x,-y,-z'
'-y+1/2,x,z'
'y+1/2,-x,-z'
'-x+1/2,-y+1/2,z'
'x+1/2,y+1/2,-z'
'y,-x+1/2,z'
'-y,x+1/2,-z'
'x+1/2,-y,-z'
'-x+1/2,y,z'
'-y,-x,-z'
'y,x,z'
'-x,y+1/2,-z'
'x,-y+1/2,z'
'y+1/2,x+1/2,-z'
'-y+1/2,-x+1/2,z'
loop_
_atom_site_label
_atom_site_type_symbol
_atom_site_fract_x
_atom_site_fract_y
_atom_site_fract_z
Ba1 Ba 0.2500 0.2500 0.2395
Zn1 Zn 0.2500 0.2500 0.6362
Zn2 Zn 0.2500 0.7500 0.0000
In1 In 0.2500 0.7500 0.5000
Sn1 Sn 0.2500 0.2500 0.8720
# E_tot: -26.19 eV per cell
# theoretical density: 6.40 g/cm3